Computed, not measured: Y2PbO4 after structural relaxation at the PBE level of DFT.

extended XYZ file:
```
14
Lattice="-6.311 -2.784 -1.173 2.106 -2.106 -6.330 3.634 -1.843 5.688" Properties=species:S:1:pos:R:3 pbc="T T T"
O 0.751 -2.916 2.879
O -0.420 -2.767 -3.085
O -1.365 -2.019 0.218
O -2.513 -4.003 2.154
O 1.655 -3.820 0.164
O -3.127 -3.961 -3.588
O -4.071 -3.213 -0.285
O -1.610 -4.907 -0.561
Y -2.246 -2.990 -1.685
Y -0.429 -3.912 1.159
Y 2.726 -2.520 1.746
Y -1.193 -4.043 -4.850
Pb 1.819 -3.197 -2.197
Pb 3.633 -1.843 5.688
```

Calculated values
- calculated total energy (eV per atom) = -7.9975
- formation energy without anion corrections (eV/atom) = -2.79
- SG = Fd-3m (227)
- crystal system = cubic